10
Lattice="7.449 0.000 0.000 0.000 7.449 0.000 0.000 0.000 4.872" Properties=species:S:1:pos:R:3 comment="Na2YGa2 (PBE-GGA, optimized geometry)" formation_energy_kj_per_mol_atoms=1.2 volume_a3_per_atom=27.0 e_above_lowest_polymorph_kcal_per_mol_atoms=3.37 total_energy_ev_per_atom=-3.02 pbc="T T T"
Y 0.000 0.000 0.000
Y 3.724 3.724 0.000
Na 1.265 4.990 2.436
Na 4.990 6.184 2.436
Na 6.184 2.459 2.436
Na 2.459 1.265 2.436
Ga 2.825 6.549 0.000
Ga 6.549 4.624 0.000
Ga 4.624 0.900 0.000
Ga 0.900 2.825 0.000